Entry 1:
## TcIrW2 (GGA-PBE)

Data for crystalline TcIrW2 at its relaxed geometry.

Cell: 2.8002 2.8002 7.8360 Å, 90.00 90.00 90.00°
With the nearest neighbours (Å) after each atom.
Space group P4/mmm (No. 123)
Unique sites:
Tc  0.0000  0.0000  0.0000 x1  8 W 2.78, 4 Tc 2.80
Ir  0.0000  0.0000  0.5000 x1  8 W 2.79, 4 Ir 2.80
W  0.5000  0.5000  0.2497 x2  4 Tc 2.78, 4 Ir 2.79, 4 W 2.80

## Properties
The value obtained for the density of states at the Fermi level is 3.32 states/eV per cell. The calculation puts the volume at 61.4 Å³/cell. Its total energy is -11.3049 eV per atom. The calculation puts the offset from the most stable computed form at 48 meV per atom. The calculation puts the energy of formation from the pure elements at -0.0216 eV/atom.

Entry 2:
## CsOsNO3 (GGA-PBE)

Data for crystalline CsOsNO3 at its relaxed geometry.

Cell: 8.6022 7.4962 8.2942 Å, 90.00 90.00 90.00°
With the nearest neighbours (Å) after each atom.
Space group Pnma (No. 62)
Unique sites:
Cs  0.1324  0.2500  0.1534 x4  8 O 3.19-3.47, 2 N 3.38-3.53
Os  0.1210  0.2500  0.6526 x4  1 N 1.70, 3 O 1.76-1.77
N  0.2094  0.7500  0.0464 x4  1 Os 1.70
O  0.0330  0.7500  0.4876 x4  1 Os 1.76
O  0.1183  0.0565  0.7743 x8  1 Os 1.77

## Properties
The value obtained for the density of states at the Fermi level is 0.00 states/eV per cell. The calculation puts the uncorrected formation energy at -977 meV per atom. The calculation puts the volume at 534.8 Å³/cell. Its total energy is -6.8577 eV per atom.

Entry 3:
## Dy4Hf (GGA-PBE)

Data for crystalline Dy4Hf at its relaxed geometry.

Cell: 5.5659 5.5659 5.5659 Å, 90.00 90.00 90.00°
With the nearest neighbours (Å) after each atom.
Space group Pm-3m (No. 221)
Unique sites:
Dy  0.0000  0.0000  0.0000 x1  12 Dy 3.94
Dy  0.0000  0.5000  0.5000 x3  2 Hf 2.78
Hf  0.5000  0.5000  0.5000 x1  6 Dy 2.78

## Properties
The value obtained for the density of states at the Fermi level is 4.25 states/eV per cell. The calculation puts the volume at 172.4 Å³/cell. Its total energy is -5.0517 eV per atom. The calculation puts the energy of formation from the pure elements at 0.6207 eV/atom.

Entry 4:
## Li2Ca3Mg2 (GGA-PBE)

Data for crystalline Li2Ca3Mg2 at its relaxed geometry.

Cell: 4.5528 23.8541 3.8448 Å, 90.00 90.00 90.00°
With the nearest neighbours (Å) after each atom.
Space group Cmmm (No. 65)
Unique sites:
Li  0.0000  0.2160  0.0000 x4  2 Li 2.79
Ca  0.0000  0.3437  0.5000 x4  6 Li 3.30-3.60, 4 Mg 3.52
Ca  0.0000  0.5000  0.5000 x2  8 Mg 3.51, 4 Ca 3.73-3.84
Mg  0.0000  0.0779  0.0000 x4  1 Li 3.29, 8 Ca 3.51-3.52

## Properties
The value obtained for the density of states at the Fermi level is 11.13 states/eV per cell. The calculation puts the volume at 417.6 Å³/cell. Its total energy is -1.8680 eV per atom. The calculation puts the energy of formation from the pure elements at -0.0078 eV/atom.

Entry 5:
## Sc5InCo (GGA-PBE)

Data for crystalline Sc5InCo at its relaxed geometry.

Cell: 9.9755 6.3323 10.5204 Å, 90.00 109.10 90.00°
With the nearest neighbours (Å) after each atom.
Space group C2/c (No. 15)
Unique sites:
Sc  0.0000  0.0232  0.2500 x4  2 Co 2.63
Sc  0.1260  0.3225  0.0489 x8  1 Co 2.37
Sc  0.2180  0.1888  0.6369 x8  1 Co 2.49
In  0.0000  0.4591  0.7500 x4  10 Sc 3.04-3.28
Co  0.0000  0.0000  0.0000 x4  6 Sc 2.37-2.63

## Properties
The value obtained for the density of states at the Fermi level is 37.18 states/eV per cell. The calculation puts the volume at 628.0 Å³/cell. Its total energy is -6.0306 eV per atom. The calculation puts the energy of formation from the pure elements at -0.1017 eV/atom.

Entry 6:
## Np2UV (GGA-PBE)

Data for crystalline Np2UV at its relaxed geometry.

Cell: 3.5873 3.5873 22.5855 Å, 90.00 90.00 120.00°
With the nearest neighbours (Å) after each atom.
Space group R-3m (No. 166, hexagonal axes)
Unique sites:
Np  0.0000  0.0000  0.1014 x6  1 V 2.29, 3 U 2.54
U  0.0000  0.0000  0.5000 x3  6 Np 2.54
V  0.0000  0.0000  0.0000 x3  2 Np 2.29

## Properties
The value obtained for the density of states at the Fermi level is 28.25 states/eV per cell. The calculation puts the volume at 251.7 Å³/cell. Its total energy is -10.6595 eV per atom. The calculation puts the energy of formation from the pure elements at 0.9126 eV/atom.

Q: Number 5 is which compound?
A: Sc5InCo